A relaxed Ga2Sn5Br12 crystal, computed with PBE.

Geometry as POSCAR:
```
Ga2Sn5Br12
1.0
7.8122 0.0000 0.0000
-3.9061 8.9508 -1.8335
0.0000 -1.0388 10.0010
Ga Sn Br
2 5 12
direct
0.7444 0.0000 0.0000 Ga
0.2556 0.0000 0.0000 Ga
0.3503 0.7007 0.6106 Sn
0.3018 0.6037 0.1188 Sn
0.0000 0.0000 0.5000 Sn
0.6982 0.3963 0.8812 Sn
0.6497 0.2993 0.3894 Sn
0.0057 0.0113 0.2128 Br
0.0768 0.6456 0.9111 Br
0.5689 0.6456 0.9111 Br
0.1042 0.7175 0.4243 Br
0.6133 0.7175 0.4243 Br
0.5033 0.0065 0.7362 Br
0.4967 0.9935 0.2638 Br
0.8958 0.2825 0.5757 Br
0.3867 0.2825 0.5757 Br
0.9232 0.3544 0.0889 Br
0.4311 0.3544 0.0889 Br
0.9943 0.9887 0.7872 Br
```

Properties
space-group type = C2/m
calculated total energy = -3.0920 eV per atom
spin magnetization = 0.00 μB per formula unit


A relaxed GaSn2Br crystal, computed with PBE.

Geometry as POSCAR:
```
GaSn2Br
1.0
-1.7941 -3.4160 -3.5438
-3.5376 1.5243 -3.5509
1.3778 0.4791 -5.0318
Ga Sn Br
1 2 1
direct
0.0000 0.0000 0.0000 Ga
0.2500 0.2500 0.2500 Sn
0.7500 0.7500 0.7500 Sn
0.5000 0.5000 0.5000 Br
```

Properties
space-group type = Fm-3m
calculated total energy = -3.1217 eV per atom
spin magnetization = 0.00 μB per formula unit


A relaxed GaSnBr crystal, computed with PBE.

Geometry as POSCAR:
```
GaSnBr
1.0
-3.5586 0.6853 -1.2586
1.3611 -3.5846 0.0466
-5.1350 -3.8852 12.4036
Br Sn Ga
2 2 2
direct
0.1249 0.2498 0.1342 Br
0.8751 0.7502 0.8658 Br
0.3600 0.7200 0.4221 Sn
0.6400 0.2800 0.5779 Sn
0.2498 0.4996 0.7446 Ga
0.7502 0.5004 0.2554 Ga
```

Properties
space-group type = C2/m
calculated total energy = -3.1428 eV per atom
spin magnetization = 0.00 μB per formula unit


A relaxed GaSnBr2 crystal, computed with PBE.

Geometry as POSCAR:
```
GaSnBr2
1.0
-3.0460 -2.1390 6.2194
-4.1748 -4.6672 -3.6498
1.0007 -8.0453 1.9466
Ga Sn Br
2 2 4
direct
0.5000 0.5000 0.0000 Ga
0.2500 0.7500 0.5000 Ga
0.0000 0.0000 0.0000 Sn
0.7500 0.2500 0.5000 Sn
0.6277 0.1250 0.2500 Br
0.1223 0.6250 0.2500 Br
0.3750 0.3723 0.7500 Br
0.8750 0.8777 0.7500 Br
```

Properties
space-group type = I-42d
calculated total energy = -2.7232 eV per atom
spin magnetization = 0.00 μB per formula unit


A relaxed GaSnBr crystal, computed with PBE.

Geometry as POSCAR:
```
GaSnBr
1.0
-4.0421 -0.9209 -2.0688
0.9493 -4.5390 -4.9955
-1.8536 -6.5398 1.3481
Ga Sn Br
2 2 2
direct
0.1914 0.7857 0.6513 Ga
0.0937 0.1911 0.6107 Ga
0.8133 0.6254 0.5699 Sn
0.0639 0.6998 0.1009 Sn
0.3772 0.0489 0.9664 Br
0.5819 0.3478 0.2520 Br
```

Properties
space-group type = P1
calculated total energy = -3.2038 eV per atom
spin magnetization = 0.00 μB per formula unit


A relaxed Ga2SnBr8 crystal, computed with PBE.

Geometry as POSCAR:
```
Ga2SnBr8
1.0
-3.4461 -2.3431 5.2739
-6.0966 -3.8091 -4.4062
2.6771 -7.9781 -0.5255
Ga Sn Br
2 1 8
direct
0.6589 0.7956 0.7956 Ga
0.3411 0.2044 0.2044 Ga
0.0000 0.0000 0.0000 Sn
0.2432 0.2924 0.9307 Br
0.7568 0.0693 0.7076 Br
0.3011 0.8029 0.8029 Br
0.6989 0.1971 0.1971 Br
0.2432 0.9307 0.2924 Br
0.7568 0.7076 0.0693 Br
0.8043 0.6261 0.6261 Br
0.1957 0.3739 0.3739 Br
```

Properties
space-group type = C2/m
calculated total energy = -2.9443 eV per atom
spin magnetization = 0.00 μB per formula unit


A relaxed GaSnBr2 crystal, computed with PBE.

Geometry as POSCAR:
```
GaSnBr2
1.0
-4.4281 -1.7101 2.4840
-3.8512 3.4856 1.3118
-4.6782 -0.0694 -2.6100
Ga Sn Br
1 1 2
direct
0.0000 0.0000 0.0000 Ga
0.5000 0.5000 0.5000 Sn
0.2500 0.2500 0.2500 Br
0.7500 0.7500 0.7500 Br
```

Properties
space-group type = Fm-3m
calculated total energy = -2.8514 eV per atom
spin magnetization = 0.00 μB per formula unit


A relaxed Ga6SnBr12 crystal, computed with PBE.

Geometry as POSCAR:
```
Ga6SnBr12
1.0
-1.1072 -10.8763 -4.2665
10.9163 4.1049 1.3056
-7.9440 3.4265 7.9292
Ga Sn Br
6 1 12
direct
0.0955 0.2815 0.3306 Ga
0.7185 0.6694 0.9045 Ga
0.6694 0.9045 0.7185 Ga
0.9045 0.7185 0.6694 Ga
0.2815 0.3306 0.0955 Ga
0.3306 0.0955 0.2815 Ga
0.0000 0.0000 0.0000 Sn
0.5412 0.3034 0.6554 Br
0.3034 0.6554 0.5411 Br
0.6554 0.5411 0.3034 Br
0.4588 0.6966 0.3446 Br
0.6966 0.3446 0.4589 Br
0.3446 0.4589 0.6966 Br
0.0950 0.1827 0.7685 Br
0.2315 0.9050 0.8173 Br
0.8173 0.2315 0.9050 Br
0.9050 0.8173 0.2315 Br
0.7685 0.0950 0.1827 Br
0.1827 0.7685 0.0950 Br
```

Properties
space-group type = R-3
calculated total energy = -2.7837 eV per atom
spin magnetization = 0.04 μB per formula unit


A relaxed GaSn3Br crystal, computed with PBE.

Geometry as POSCAR:
```
GaSn3Br
1.0
5.4778 0.0000 0.0000
0.0000 5.4778 0.0000
0.0000 0.0000 5.4778
Ga Sn Br
1 3 1
direct
0.0000 0.0000 0.0000 Ga
0.0000 0.5000 0.0000 Sn
0.0000 0.0000 0.5000 Sn
0.5000 0.0000 0.0000 Sn
0.5000 0.5000 0.5000 Br
```

Properties
space-group type = Pm-3m
calculated total energy = -3.0457 eV per atom
spin magnetization = 0.00 μB per formula unit


A relaxed GaTcSn2Br crystal, computed with PBE.

Geometry as POSCAR:
```
GaTcSn2Br
1.0
5.2035 0.0000 0.0000
0.0000 5.2035 0.0000
0.0000 0.0000 4.8848
Ga Sn Br Tc
1 2 1 1
direct
0.0000 0.0000 0.5000 Ga
0.0000 0.5000 0.0000 Sn
0.5000 0.0000 0.0000 Sn
0.5000 0.5000 0.5000 Br
0.0000 0.0000 0.0000 Tc
```

Properties
space-group type = P4/mmm
calculated total energy = -4.7359 eV per atom
spin magnetization = 0.00 μB per formula unit


A relaxed Ga2SnTeBr crystal, computed with PBE.

Geometry as POSCAR:
```
Ga2SnTeBr
1.0
5.4984 0.0000 0.0000
0.0000 5.2920 0.0000
0.0000 0.0000 5.4984
Ga Te Sn Br
2 1 1 1
direct
0.0000 0.0000 0.5000 Ga
0.5000 0.0000 0.0000 Ga
0.5000 0.5000 0.5000 Te
0.0000 0.0000 0.0000 Sn
0.0000 0.5000 0.0000 Br
```

Properties
space-group type = P4/mmm
calculated total energy = -2.7841 eV per atom
spin magnetization = 0.00 μB per formula unit


A relaxed TiGaSnBr6 crystal, computed with PBE.

Geometry as POSCAR:
```
TiGaSnBr6
1.0
-5.3067 -4.5556 1.9708
0.3541 -3.4487 6.3857
-3.2340 5.0162 2.8879
Ti Ga Sn Br
1 1 1 6
direct
0.3333 0.3334 0.5000 Ti
0.9999 0.9999 0.0000 Ga
0.6666 0.6666 0.5000 Sn
0.0378 0.3411 0.2703 Br
0.3410 0.0379 0.7297 Br
0.6211 0.3410 0.7296 Br
0.0375 0.6214 0.7296 Br
0.3410 0.6212 0.2703 Br
0.6213 0.0376 0.2704 Br
```

Properties
space-group type = P312
calculated total energy = -3.6580 eV per atom
spin magnetization = 1.00 μB per formula unit